# GGA-PBE Tl3CdSn3, relaxed
data_Tl3CdSn3
_chemical_formula_sum 'Tl6 Cd2 Sn6'
_space_group_name_H-M_alt 'P m -3 n'
_space_group_IT_number 223
_space_group_name_Hall '-P 4n 2 3'
_cell_length_a 8.321
_cell_length_b 8.321
_cell_length_c 8.321
_cell_angle_alpha 90.00
_cell_angle_beta 90.00
_cell_angle_gamma 90.00
loop_
_atom_site_label
_atom_site_type_symbol
_atom_site_fract_x
_atom_site_fract_y
_atom_site_fract_z
Tl1 Tl 0.000 0.250 0.500
Cd1 Cd 0.000 0.000 0.000
Sn1 Sn 0.000 0.500 0.250
# V ... 576.21 Å³ per cell
# Formation energy from the elements ... 0.423 eV per atom
# Excess energy over the best structure of this formula in the dataset ... 261.3 kJ/mol of formula units
# VASP energy ... -2.437 eV per atom


# GGA-PBE LiCr2Tc, relaxed
data_LiCr2Tc
_chemical_formula_sum 'Li1 Cr2 Tc1'
_space_group_name_H-M_alt 'P 4/m m m'
_space_group_IT_number 123
_space_group_name_Hall '-P 4 2'
_cell_length_a 4.153
_cell_length_b 4.153
_cell_length_c 3.020
_cell_angle_alpha 90.00
_cell_angle_beta 90.00
_cell_angle_gamma 90.00
loop_
_atom_site_label
_atom_site_type_symbol
_atom_site_fract_x
_atom_site_fract_y
_atom_site_fract_z
Li1 Li 0.000 0.000 0.000
Cr1 Cr 0.000 0.500 0.500
Tc1 Tc 0.500 0.500 0.000
# V ... 52.07 Å³ per cell
# Formation energy from the elements ... 0.378 eV per atom
# VASP energy ... -7.504 eV per atom


# GGA-PBE Pr3Zn4Pd4, relaxed
data_Pr3Zn4Pd4
_chemical_formula_sum 'Pr3 Zn4 Pd4'
_space_group_name_H-M_alt 'P -1'
_space_group_IT_number 2
_cell_length_a 3.927
_cell_length_b 4.388
_cell_length_c 13.799
_cell_angle_alpha 80.87
_cell_angle_beta 81.82
_cell_angle_gamma 89.99
loop_
_space_group_symop_operation_xyz
'x,y,z'
'-x,-y,-z'
loop_
_atom_site_label
_atom_site_type_symbol
_atom_site_fract_x
_atom_site_fract_y
_atom_site_fract_z
Pr1 Pr 0.000 0.000 0.000
Pr2 Pr 0.146 0.643 0.708
Zn1 Zn 0.254 0.255 0.493
Zn2 Zn 0.402 0.905 0.195
Pd1 Pd 0.307 0.810 0.385
Pd2 Pd 0.450 0.452 0.101
# V ... 232.32 Å³ per cell
# Formation energy from the elements ... -0.623 eV per atom
# Excess energy over the best structure of this formula in the dataset ... 37.3 kJ/mol of formula units
# VASP energy ... -4.278 eV per atom


# GGA-PBE HoEr2ScSe4, relaxed
data_HoEr2ScSe4
_chemical_formula_sum 'Ho1 Er2 Sc1 Se4'
_space_group_name_H-M_alt 'P 1 2/m 1'
_space_group_IT_number 10
_cell_length_a 6.952
_cell_length_b 3.968
_cell_length_c 6.969
_cell_angle_alpha 90.00
_cell_angle_beta 109.00
_cell_angle_gamma 90.00
loop_
_space_group_symop_operation_xyz
'x,y,z'
'-x,-y,-z'
'-x,y,-z'
'x,-y,z'
loop_
_atom_site_label
_atom_site_type_symbol
_atom_site_fract_x
_atom_site_fract_y
_atom_site_fract_z
Ho1 Ho 0.000 0.000 0.000
Er1 Er 0.500 0.000 0.500
Er2 Er 0.500 0.500 0.000
Sc1 Sc 0.000 0.500 0.500
Se1 Se 0.243 0.000 0.742
Se2 Se 0.247 0.500 0.255
# V ... 181.77 Å³ per cell
# VASP energy ... -5.914 eV per atom
# Formation energy (no corrections) ... -1.6670 eV/atom


# GGA-PBE LaSc2Rh, relaxed
data_LaSc2Rh
_chemical_formula_sum 'La2 Sc4 Rh2'
_space_group_name_H-M_alt 'C 1 2/m 1'
_space_group_IT_number 12
_cell_length_a 5.834
_cell_length_b 9.625
_cell_length_c 3.244
_cell_angle_alpha 90.00
_cell_angle_beta 104.73
_cell_angle_gamma 90.00
loop_
_space_group_symop_operation_xyz
'x,y,z'
'-x,-y,-z'
'-x,y,-z'
'x,-y,z'
'x+1/2,y+1/2,z'
'-x+1/2,-y+1/2,-z'
'-x+1/2,y+1/2,-z'
'x+1/2,-y+1/2,z'
loop_
_atom_site_label
_atom_site_type_symbol
_atom_site_fract_x
_atom_site_fract_y
_atom_site_fract_z
La1 La 0.000 0.000 0.000
Sc1 Sc 0.250 0.250 0.500
Rh1 Rh 0.000 0.500 0.000
# V ... 176.19 Å³ per cell
# Formation energy from the elements ... -0.077 eV per atom
# VASP energy ... -6.312 eV per atom


# GGA-PBE Ac6PmSm12, relaxed
data_Ac6PmSm12
_chemical_formula_sum 'Ac18 Pm3 Sm36'
_space_group_name_H-M_alt 'R -3 m'
_space_group_IT_number 166
_space_group_name_Hall '-R 3 2"'
_cell_length_a 13.9359
_cell_length_b 13.9359
_cell_length_c 13.1851
_cell_angle_alpha 90.00
_cell_angle_beta 90.00
_cell_angle_gamma 120.00
loop_
_atom_site_label
_atom_site_type_symbol
_atom_site_fract_x
_atom_site_fract_y
_atom_site_fract_z
Ac1 Ac 0.0393 0.5197 0.1249
Pm1 Pm 0.0000 0.0000 0.5000
Sm1 Sm 0.0000 0.2517 0.0000
Sm2 Sm 0.0936 0.1871 0.7624
# V ... 2217.59 Å³ per cell
# Formation energy from the elements ... 0.251 eV per atom
# VASP energy ... -4.277 eV per atom


# GGA-PBE ZnGaAu6, relaxed
data_ZnGaAu6
_chemical_formula_sum 'Zn1 Ga1 Au6'
_space_group_name_H-M_alt 'P -1'
_space_group_IT_number 2
_cell_length_a 5.397
_cell_length_b 5.403
_cell_length_c 5.448
_cell_angle_alpha 76.55
_cell_angle_beta 75.21
_cell_angle_gamma 76.40
loop_
_space_group_symop_operation_xyz
'x,y,z'
'-x,-y,-z'
loop_
_atom_site_label
_atom_site_type_symbol
_atom_site_fract_x
_atom_site_fract_y
_atom_site_fract_z
Zn1 Zn 0.000 0.000 0.000
Ga1 Ga 0.500 0.500 0.500
Au1 Au 0.013 0.750 0.486
Au2 Au 0.251 0.507 0.989
Au3 Au 0.492 0.012 0.750
# V ... 146.74 Å³ per cell
# Formation energy from the elements ... -0.057 eV per atom
# Excess energy over the best structure of this formula in the dataset ... 20.5 kJ/mol of formula units
# VASP energy ... -3.052 eV per atom


# GGA-PBE LaTc3Os, relaxed
data_LaTc3Os
_chemical_formula_sum 'La1 Tc3 Os1'
_space_group_name_H-M_alt 'P m -3 m'
_space_group_IT_number 221
_space_group_name_Hall '-P 4 2 3'
_cell_length_a 4.768
_cell_length_b 4.768
_cell_length_c 4.768
_cell_angle_alpha 90.00
_cell_angle_beta 90.00
_cell_angle_gamma 90.00
loop_
_atom_site_label
_atom_site_type_symbol
_atom_site_fract_x
_atom_site_fract_y
_atom_site_fract_z
La1 La 0.000 0.000 0.000
Tc1 Tc 0.000 0.500 0.500
Os1 Os 0.500 0.500 0.500
# V ... 108.41 Å³ per cell
# Formation energy from the elements ... 0.917 eV per atom
# Excess energy over the best structure of this formula in the dataset ... 0.0 kJ/mol of formula units
# VASP energy ... -8.534 eV per atom


Magnetic moment: 0.0, 3.2, 0.0, 0.0, 0.0, 0.0, 0.0, 0.0 (μB/f.u.)